First-principles (PBE-GGA) data for a relaxed KCeH6Pt2 crystal, as listed in Alexandria.

Cell: 6.3758 6.3758 7.7365 Å, 105.47 105.47 87.98°
Closest atoms and distances in Å follow each position.
Element x y z (fractional)
H 0.3234 0.6370 0.4420  1 Pt 1.71
H 0.6766 0.3630 0.5580  1 Pt 1.71
Ce 0.4244 0.5756 0.7500  8 H 2.39-2.58
Ce 0.5756 0.4244 0.2500  8 H 2.39-2.58
H 0.3630 0.6766 0.0580  1 Pt 1.71
K 0.1028 0.8972 0.2500  4 H 2.53-2.64
Pt 0.4453 0.1155 0.8657  3 H 1.61-1.71
H 0.6675 0.8132 0.3302  1 Pt 1.67
Pt 0.1155 0.4453 0.3657  3 H 1.61-1.71
H 0.3325 0.1868 0.6698  1 Pt 1.67
H 0.0782 0.7392 0.7054  1 H 1.56, 1 Pt 1.61
Pt 0.8845 0.5547 0.6343  3 H 1.61-1.71
Pt 0.5547 0.8845 0.1343  3 H 1.61-1.71
H 0.7392 0.0782 0.2054  1 H 1.56, 1 Pt 1.61
H 0.8132 0.6675 0.8302  1 Pt 1.67
H 0.9218 0.2608 0.2946  1 H 1.56, 1 Pt 1.61
H 0.2608 0.9218 0.7946  1 H 1.56, 1 Pt 1.61
H 0.6370 0.3234 0.9420  1 Pt 1.71
H 0.1868 0.3325 0.1698  1 Pt 1.67
K 0.8972 0.1028 0.7500  4 H 2.53-2.64

Output
The calculation puts the density of states at the Fermi level at 7.6 states/eV/f.u. The final energy is -4.303 eV/atom. The value obtained for the total magnetization is 0.1010 μB per atom.